[1]
PaVMo2 (PBE-GGA, optimized geometry); polymorph energy (0 for the lowest one) = 46 kJ/mol of formula units; energy of formation = 0.13 eV/atom
1.0
3.2904 0.0000 0.0000
0.0000 3.2904 0.0000
0.0000 0.0000 6.4392
Pa V Mo
1 1 2
Cartesian
0.0000 0.0000 0.0000
0.0000 0.0000 3.2196
1.6452 1.6452 1.7171
1.6452 1.6452 4.7220

***

[2]
DyHgPb2O4 (PBE-GGA, optimized geometry); formation energy without anion corrections = -1626 meV/atom
1.0
4.0100 0.0000 0.0000
0.0000 4.0100 0.0000
0.0000 0.0000 9.8072
Dy Hg Pb O
1 1 2 4
Cartesian
0.0000 0.0000 0.0000
0.0000 0.0000 4.9036
2.0050 2.0050 2.4104
2.0050 2.0050 7.3969
0.0000 2.0050 1.3154
0.0000 2.0050 8.4918
2.0050 0.0000 1.3154
2.0050 0.0000 8.4918

***

[3]
FeAgBr2 (PBE-GGA, optimized geometry); formation energy without anion corrections = -16 meV/atom; polymorph energy (0 for the lowest one) = 4 kJ/mol of formula units
1.0
-1.7564 2.2658 6.7663
1.7564 -2.2658 6.7663
1.7564 2.2658 -6.7663
Fe Ag Br
1 1 2
Cartesian
0.0000 0.0000 0.0000
0.0000 0.0000 6.7663
1.7564 0.0000 1.8589
0.0000 2.2658 4.9074

***

[4]
SmDy8Ho6 (PBE-GGA, optimized geometry); energy of formation = 0.13 eV/atom
1.0
4.4987 2.5973 6.8336
-4.4987 2.5973 6.8336
0.0000 -5.1947 6.8336
Sm Dy Ho
1 8 6
Cartesian
0.0000 0.0000 0.0000
-2.8497 -1.5235 10.7655
-0.1055 -3.2297 9.7353
-2.7442 1.7062 9.7353
0.0000 0.0000 8.6804
0.0000 0.0000 11.8205
2.7442 -1.7062 10.7655
0.1055 3.2297 10.7655
2.8497 1.5235 9.7353
-0.5655 -1.9148 6.0054
-1.3755 1.4472 6.0054
-1.9410 -0.4676 14.4954
1.9410 0.4676 6.0054
1.3755 -1.4472 14.4954
0.5655 1.9148 14.4954